1.
The following is a PBE-GGA calculation of a geometry-optimized YTaPt2 structure, from Alexandria via LeMat-Bulk.

The calculation puts the formation energy at -0.610 eV/atom. The total energy is -65.7 eV per cell. As for the density of states at the Fermi level: 0.889 states/eV per atom.

It has space group Cm (No. 8), with a = 9.453 Å, b = 3.404 Å, c = 5.093 Å, α = 90.00°, β = 101.29° and γ = 90.00°. The asymmetric unit holds Y at (0.000, 0.000, 0.000), Ta at (0.277, 0.500, 0.385), Pt at (0.001, 0.500, 0.488) and Pt at (0.248, 0.000, 0.763).

***

2.
The following is a PBE-GGA calculation of a geometry-optimized YTa2Pt structure, from Alexandria via LeMat-Bulk.

Its relative energy among the computed polymorphs is 0.191 eV/atom. The calculation puts the formation energy at -0.055 eV/atom. The total energy is -72.9 eV per cell. As for the density of states at the Fermi level: 0.879 states/eV per atom.

It has space group Cm (No. 8), with a = 10.080 Å, b = 2.985 Å, c = 5.490 Å, α = 90.00°, β = 103.47° and γ = 90.00°. The asymmetric unit holds Y at (0.000, 0.000, 0.000), Ta at (0.028, 0.500, 0.515), Ta at (0.288, 0.500, 0.354) and Pt at (0.245, 0.000, 0.790).

***

3.
The following is a PBE-GGA calculation of a geometry-optimized Y2TaPt structure, from Alexandria via LeMat-Bulk.

Its relative energy among the computed polymorphs is 0.277 eV/atom. The calculation puts the formation energy at -0.058 eV/atom. The total energy is -93.2 eV per cell. As for the density of states at the Fermi level: 1.175 states/eV per atom.

It has space group R-3m (No. 166, hexagonal axes), with a = 3.4080 Å, b = 3.4080 Å, c = 27.8674 Å, α = 90.00°, β = 90.00° and γ = 120.00°. The asymmetric unit holds Y at (0.0000, 0.0000, 0.2423), Ta at (0.0000, 0.0000, 0.0000) and Pt at (0.0000, 0.0000, 0.5000).

***

4.
The following is a PBE-GGA calculation of a geometry-optimized YTa2Pt structure, from Alexandria via LeMat-Bulk.

Its relative energy among the computed polymorphs is 0.363 eV/atom. The calculation puts the formation energy at 0.118 eV/atom. The total energy is -71.5 eV per cell. As for the density of states at the Fermi level: 1.055 states/eV per atom.

It has space group Cmmm (No. 65), with a = 5.582 Å, b = 9.665 Å, c = 2.898 Å, α = 90.00°, β = 90.00° and γ = 90.00°. The asymmetric unit holds Y at (0.000, 0.000, 0.000), Ta at (0.250, 0.250, 0.500) and Pt at (0.000, 0.500, 0.000).

***

5.
The following is a PBE-GGA calculation of a geometry-optimized Y2TaPt structure, from Alexandria via LeMat-Bulk.

Its relative energy among the computed polymorphs is 0.270 eV/atom. The calculation puts the formation energy at -0.065 eV/atom. The total energy is -62.2 eV per cell. As for the density of states at the Fermi level: 1.323 states/eV per atom.

It has space group I-4m2 (No. 119), with a = 4.185 Å, b = 4.185 Å, c = 10.163 Å, α = 90.00°, β = 90.00° and γ = 90.00°. The asymmetric unit holds Y at (0.000, 0.000, 0.000), Y at (0.000, 0.500, 0.250), Ta at (0.000, 0.000, 0.500) and Pt at (0.000, 0.500, 0.750).

***

6.
The following is a PBE-GGA calculation of a geometry-optimized YTa2ZnPt structure, from Alexandria via LeMat-Bulk.

The calculation puts the formation energy at 0.997 eV/atom. The total energy is -32.5 eV per cell. As for the density of states at the Fermi level: 1.605 states/eV per atom.

It has space group P4/mmm (No. 123), with a = 4.690 Å, b = 4.690 Å, c = 5.067 Å, α = 90.00°, β = 90.00° and γ = 90.00°. The asymmetric unit holds Y at (0.000, 0.000, 0.000), Ta at (0.000, 0.500, 0.500), Zn at (0.000, 0.000, 0.500) and Pt at (0.500, 0.500, 0.000).

***

7.
The following is a PBE-GGA calculation of a geometry-optimized TaZnPt2 structure, from Alexandria via LeMat-Bulk.

The calculation puts the formation energy at -0.398 eV/atom. The total energy is -53.6 eV per cell. As for the density of states at the Fermi level: 0.620 states/eV per atom.

It has space group C2/m (No. 12), with a = 9.011 Å, b = 2.831 Å, c = 5.046 Å, α = 90.00°, β = 99.60° and γ = 90.00°. The asymmetric unit holds Ta at (0.000, 0.000, 0.000), Zn at (0.000, 0.500, 0.500) and Pt at (0.248, 0.000, 0.750).

***

8.
The following is a PBE-GGA calculation of a geometry-optimized TaZnPt2 structure, from Alexandria via LeMat-Bulk.

The calculation puts the formation energy at -0.332 eV/atom. The total energy is -79.6 eV per cell. As for the density of states at the Fermi level: 0.302 states/eV per atom.

It has space group R3m (No. 160, hexagonal axes), with a = 3.4914 Å, b = 3.4914 Å, c = 20.4617 Å, α = 90.00°, β = 90.00° and γ = 120.00°. The asymmetric unit holds Ta at (0.0000, 0.0000, 0.0000), Zn at (0.0000, 0.0000, 0.1665), Pt at (0.0000, 0.0000, 0.4164) and Pt at (0.0000, 0.0000, 0.5842).